Record 1
LaZn2SiPd4: optimized geometry, PBE.

Results
Formation energy (no corrections) in eV/atom: -0.61
Total DFT energy (no corrections) in eV/cell: -38.576
Fermi-level density of states in states/eV/f.u.: 4.752

Cell: 4.323 4.323 9.081 Å, 76.23 76.23 60.00°
Positions (direct):
La 0.000 0.000 0.000
Zn 0.758 0.758 0.727
Zn 0.242 0.242 0.273
Si 0.500 0.500 0.500
Pd 0.407 0.407 0.779
Pd 0.863 0.863 0.412
Pd 0.137 0.137 0.588
Pd 0.593 0.593 0.221

***

Record 2
PaIn3: optimized geometry, PBE.

Results
Excess energy over the best structure of this formula in the dataset in meV/atom: 0
Total DFT energy (no corrections) in eV/cell: -18.233
Fermi-level density of states in states/eV/f.u.: 4.897

Cell: 4.649 4.649 4.648 Å, 90.00 90.00 90.00°
Positions (direct):
Pa 0.000 0.000 0.917
In 0.500 0.000 0.417
In 0.500 0.500 0.917
In 0.000 0.500 0.417

***

Record 3
RbHO2: optimized geometry, PBE.

Results
Excess energy over the best structure of this formula in the dataset in meV/atom: 1668
Total DFT energy (no corrections) in eV/cell: -11.022
Fermi-level density of states in states/eV/f.u.: 4.085

Cell: 4.546 4.546 4.546 Å, 60.00 60.00 60.00°
Positions (direct):
H 0.000 0.000 0.000
O 0.250 0.250 0.250
O 0.750 0.750 0.750
Rb 0.500 0.500 0.500

***

Record 4
AlTe2Pb: optimized geometry, PBE.

Results
Formation energy (no corrections) in eV/atom: -0.17
Total DFT energy (no corrections) in eV/cell: -14.416
Fermi-level density of states in states/eV/f.u.: 2.106

Cell: 8.907 8.907 8.907 Å, 27.22 27.22 27.22°
Positions (direct):
Pb 0.753 0.753 0.753
Te 0.016 0.016 0.016
Te 0.224 0.224 0.224
Al 0.507 0.507 0.507

***

Record 5
PmDy6Y2Tm3: optimized geometry, PBE.

Results
Total DFT energy (no corrections) in eV/cell: -58.455
Fermi-level density of states in states/eV/f.u.: 16.224

Cell: 6.133 6.133 11.740 Å, 94.98 94.98 119.94°
Positions (direct):
Pm 0.000 0.000 0.000
Dy 0.915 0.582 0.747
Dy 0.752 0.752 0.253
Dy 0.085 0.418 0.253
Dy 0.582 0.915 0.747
Dy 0.248 0.248 0.747
Dy 0.418 0.085 0.253
Y 0.333 0.667 0.000
Y 0.667 0.333 0.000
Tm 0.167 0.833 0.500
Tm 0.833 0.167 0.500
Tm 0.500 0.500 0.500

***

Record 6
Zr2InFe: optimized geometry, PBE.

Results
Total DFT energy (no corrections) in eV/cell: -28.527
Fermi-level density of states in states/eV/f.u.: 4.434

Cell: 3.250 3.250 7.377 Å, 90.00 90.00 90.00°
Positions (direct):
Fe 0.000 0.000 0.488
In 0.500 0.500 0.710
Zr 0.000 0.000 0.005
Zr 0.500 0.500 0.297

***

Record 7
CsNa12Sn4: optimized geometry, PBE.

Results
Total DFT energy (no corrections) in eV/cell: -32.246
Fermi-level density of states in states/eV/f.u.: 15.276

Cell: 9.955 9.955 9.955 Å, 109.47 109.47 109.47°
Positions (direct):
Cs 0.000 0.000 0.000
Na 0.801 0.324 0.125
Na 0.324 0.523 0.199
Na 0.875 0.199 0.676
Na 0.324 0.125 0.801
Na 0.125 0.801 0.324
Na 0.676 0.477 0.801
Na 0.523 0.199 0.324
Na 0.477 0.801 0.676
Na 0.676 0.875 0.199
Na 0.801 0.676 0.477
Na 0.199 0.324 0.523
Na 0.199 0.676 0.875
Sn 0.000 0.500 0.000
Sn 0.500 0.000 0.000
Sn 0.500 0.500 0.500
Sn 0.000 0.000 0.500

***

Record 8
SmY3Au2: optimized geometry, PBE.

Results
Excess energy over the best structure of this formula in the dataset in meV/atom: 177
Total DFT energy (no corrections) in eV/cell: -66.749
Fermi-level density of states in states/eV/f.u.: 8.310

Cell: 7.091 7.351 8.655 Å, 115.13 114.18 90.00°
Positions (direct):
Sm 0.000 0.500 0.000
Sm 0.000 0.000 0.000
Y 0.500 0.250 0.000
Y 0.500 0.750 0.000
Y 0.765 0.015 0.531
Y 0.235 0.485 0.469
Y 0.235 0.985 0.469
Y 0.765 0.515 0.531
Au 0.562 0.358 0.715
Au 0.847 0.142 0.285
Au 0.153 0.858 0.715
Au 0.438 0.642 0.285

***

Record 9
Ca2RuO6: optimized geometry, PBE.

Results
Excess energy over the best structure of this formula in the dataset in meV/atom: 217
Formation energy (no corrections) in eV/atom: -1.40
Total DFT energy (no corrections) in eV/cell: -55.669
Fermi-level density of states in states/eV/f.u.: 3.648

Cell: 3.622 5.646 6.240 Å, 116.90 102.80 90.00°
Positions (direct):
Ca 0.677 0.671 0.342
Ca 0.323 0.329 0.658
Ru 0.000 0.000 0.000
O 0.152 0.370 0.282
O 0.848 0.087 0.718
O 0.848 0.630 0.718
O 0.500 0.203 0.000
O 0.152 0.913 0.282
O 0.500 0.797 0.000

***

Record 10
Sc2GaC2: optimized geometry, PBE.

Results
Excess energy over the best structure of this formula in the dataset in meV/atom: 0
Total DFT energy (no corrections) in eV/cell: -32.219
Fermi-level density of states in states/eV/f.u.: 3.350

Cell: 4.063 4.063 5.915 Å, 69.91 69.91 90.00°
Positions (direct):
Sc 0.325 0.325 0.349
Sc 0.675 0.675 0.651
C 0.750 0.250 0.500
C 0.250 0.750 0.500
Ga 0.000 0.000 0.000

***

Record 11
BaTaAu2: optimized geometry, PBE.

Results
Excess energy over the best structure of this formula in the dataset in meV/atom: 77
Total DFT energy (no corrections) in eV/cell: -20.475
Fermi-level density of states in states/eV/f.u.: 2.216

Cell: 4.682 4.682 6.652 Å, 70.43 70.43 59.94°
Positions (direct):
Au 0.020 0.020 0.945
Au 0.311 0.311 0.076
Ba 0.487 0.487 0.521
Ta 0.682 0.682 0.958

***

Record 12
ScNbP: optimized geometry, PBE.

Results
Total DFT energy (no corrections) in eV/cell: -93.488
Fermi-level density of states in states/eV/f.u.: 2.068

Cell: 6.423 9.548 6.092 Å, 141.59 90.00 90.00°
Positions (direct):
Sc 0.000 0.802 0.603
Sc 0.000 0.198 0.397
Sc 0.500 0.302 0.603
Sc 0.500 0.698 0.397
P 0.819 0.567 0.000
P 0.319 0.933 0.000
P 0.181 0.433 0.000
P 0.681 0.067 0.000
Nb 0.661 0.798 0.000
Nb 0.839 0.298 0.000
Nb 0.161 0.702 0.000
Nb 0.339 0.202 0.000